No. 1
A relaxed structure of Ta5Re24, computed with PBE.

Results
SG = No. 217
energy of formation from the pure elements = -15.88 kJ per mole of atoms
density = 19.7 Mg/m³
total magnetic moment = 0.002 μB/atom

Cell lengths 8.376, 8.376, 8.376 Å; angles 109.47, 109.47, 109.47 degrees
Sites, in units of the cell vectors:
Re 0.601 0.283 0.601
Re 0.000 0.194 0.376
Re 0.194 0.000 0.376
Re 0.399 0.000 0.682
Re 0.601 0.601 0.283
Ta 0.635 0.000 0.000
Re 0.806 0.806 0.182
Re 0.318 0.717 0.318
Ta 0.000 0.000 0.000
Re 0.717 0.318 0.318
Ta 0.000 0.635 0.000
Re 0.399 0.682 0.000
Re 0.818 0.624 0.624
Re 0.682 0.000 0.399
Re 0.000 0.399 0.682
Re 0.318 0.318 0.717
Re 0.182 0.806 0.806
Re 0.376 0.194 0.000
Re 0.000 0.376 0.194
Re 0.624 0.624 0.818
Re 0.624 0.818 0.624
Re 0.283 0.601 0.601
Re 0.000 0.682 0.399
Ta 0.000 0.000 0.635
Re 0.806 0.182 0.806
Ta 0.365 0.365 0.365
Re 0.194 0.376 0.000
Re 0.682 0.399 0.000
Re 0.376 0.000 0.194



No. 2
A relaxed structure of Ta2Re3, computed with PBE.

Results
SG = No. 136
energy of formation from the pure elements = -16.83 kJ per mole of atoms
density = 18.8 Mg/m³
total magnetic moment = 0.000 μB/atom

Cell lengths 9.809, 9.809, 5.075 Å; angles 90.00, 90.00, 90.00 degrees
Sites, in units of the cell vectors:
Ta 0.370 0.962 0.500
Ta 0.538 0.870 0.000
Re 0.182 0.182 0.749
Ta 0.130 0.462 0.000
Ta 0.462 0.130 0.000
Ta 0.601 0.601 0.000
Re 0.318 0.682 0.249
Ta 0.899 0.101 0.500
Ta 0.101 0.899 0.500
Ta 0.038 0.630 0.500
Re 0.818 0.818 0.749
Re 0.255 0.933 0.000
Re 0.682 0.318 0.249
Re 0.182 0.182 0.251
Re 0.818 0.818 0.251
Ta 0.399 0.399 0.000
Re 0.318 0.682 0.751
Re 0.933 0.255 0.000
Ta 0.962 0.370 0.500
Re 0.433 0.245 0.500
Re 0.682 0.318 0.751
Re 0.067 0.745 0.000
Re 0.745 0.067 0.000
Re 0.500 0.500 0.500
Re 0.245 0.433 0.500
Ta 0.870 0.538 0.000
Re 0.567 0.755 0.500
Re 0.000 0.000 0.000
Ta 0.630 0.038 0.500
Re 0.755 0.567 0.500



No. 3
A relaxed structure of TaRe2, computed with PBE.

Results
SG = No. 63
energy of formation from the pure elements = 38.26 kJ per mole of atoms
density = 18.4 Mg/m³
total magnetic moment = 0.001 μB/atom

Cell lengths 5.190, 5.190, 8.497 Å; angles 90.00, 90.00, 119.48 degrees
Sites, in units of the cell vectors:
Re 0.661 0.339 0.447
Re 0.189 0.324 0.250
Re 0.339 0.661 0.553
Ta 0.812 0.188 0.750
Re 0.324 0.189 0.750
Ta 0.000 0.000 0.000
Re 0.676 0.811 0.250
Ta 0.188 0.812 0.250
Re 0.811 0.676 0.750
Re 0.339 0.661 0.947
Ta 0.000 0.000 0.500
Re 0.661 0.339 0.053



No. 4
A relaxed structure of Ta13Re2, computed with PBE.

Results
SG = No. 136
energy of formation from the pure elements = 2.78 kJ per mole of atoms
density = 16.7 Mg/m³
total magnetic moment = 0.000 μB/atom

Cell lengths 10.100, 10.100, 5.309 Å; angles 90.00, 90.00, 90.00 degrees
Sites, in units of the cell vectors:
Ta 0.065 0.261 0.500
Re 0.898 0.898 0.000
Ta 0.565 0.239 0.000
Ta 0.000 0.000 0.500
Ta 0.964 0.635 0.000
Ta 0.319 0.319 0.252
Ta 0.181 0.819 0.248
Ta 0.435 0.761 0.000
Re 0.602 0.398 0.500
Ta 0.500 0.500 0.000
Ta 0.681 0.681 0.748
Ta 0.181 0.819 0.752
Ta 0.819 0.181 0.752
Ta 0.635 0.964 0.000
Ta 0.261 0.065 0.500
Ta 0.319 0.319 0.748
Ta 0.464 0.865 0.500
Ta 0.935 0.739 0.500
Ta 0.135 0.536 0.500
Re 0.398 0.602 0.500
Ta 0.761 0.435 0.000
Ta 0.865 0.464 0.500
Ta 0.681 0.681 0.252
Ta 0.365 0.036 0.000
Re 0.102 0.102 0.000
Ta 0.536 0.135 0.500
Ta 0.036 0.365 0.000
Ta 0.819 0.181 0.248
Ta 0.239 0.565 0.000
Ta 0.739 0.935 0.500



No. 5
A relaxed structure of Ta11Re4, computed with PBE.

Results
SG = No. 136
energy of formation from the pure elements = -3.38 kJ per mole of atoms
density = 17.2 Mg/m³
total magnetic moment = 0.000 μB/atom

Cell lengths 10.043, 10.043, 5.224 Å; angles 90.00, 90.00, 90.00 degrees
Sites, in units of the cell vectors:
Re 0.535 0.126 0.500
Ta 0.500 0.500 0.000
Ta 0.892 0.892 0.000
Ta 0.183 0.817 0.751
Ta 0.817 0.183 0.751
Ta 0.767 0.435 0.000
Ta 0.435 0.767 0.000
Ta 0.733 0.935 0.500
Ta 0.233 0.565 0.000
Ta 0.683 0.683 0.749
Ta 0.267 0.065 0.500
Re 0.874 0.465 0.500
Ta 0.317 0.317 0.251
Ta 0.817 0.183 0.249
Ta 0.683 0.683 0.251
Re 0.626 0.965 0.000
Re 0.126 0.535 0.500
Ta 0.000 0.000 0.500
Ta 0.935 0.733 0.500
Re 0.465 0.874 0.500
Ta 0.608 0.392 0.500
Re 0.035 0.374 0.000
Re 0.965 0.626 0.000
Re 0.374 0.035 0.000
Ta 0.108 0.108 0.000
Ta 0.565 0.233 0.000
Ta 0.065 0.267 0.500
Ta 0.183 0.817 0.249
Ta 0.317 0.317 0.749
Ta 0.392 0.608 0.500



No. 6
A relaxed structure of TaRe2, computed with PBE.

Results
SG = No. 136
energy of formation from the pure elements = -0.59 kJ per mole of atoms
density = 19.1 Mg/m³
total magnetic moment = 0.000 μB/atom

Cell lengths 9.720, 9.720, 5.097 Å; angles 90.00, 90.00, 90.00 degrees
Sites, in units of the cell vectors:
Re 0.135 0.467 0.000
Re 0.736 0.062 0.000
Ta 0.687 0.313 0.249
Ta 0.000 0.000 0.000
Ta 0.687 0.313 0.751
Ta 0.187 0.187 0.749
Re 0.467 0.135 0.000
Re 0.603 0.603 0.000
Ta 0.813 0.813 0.749
Re 0.236 0.438 0.500
Re 0.264 0.938 0.000
Re 0.635 0.033 0.500
Re 0.438 0.236 0.500
Re 0.562 0.764 0.500
Re 0.764 0.562 0.500
Re 0.062 0.736 0.000
Re 0.033 0.635 0.500
Re 0.397 0.397 0.000
Re 0.103 0.897 0.500
Ta 0.500 0.500 0.500
Ta 0.813 0.813 0.251
Re 0.865 0.533 0.000
Ta 0.313 0.687 0.249
Re 0.938 0.264 0.000
Ta 0.313 0.687 0.751
Re 0.967 0.365 0.500
Ta 0.187 0.187 0.251
Re 0.897 0.103 0.500
Re 0.533 0.865 0.000
Re 0.365 0.967 0.500



No. 7
A relaxed structure of Ta9Re4, computed with PBE.

Results
SG = No. 166
energy of formation from the pure elements = 29.12 kJ per mole of atoms
density = 17.2 Mg/m³
total magnetic moment = 0.033 μB/atom

Cell lengths 9.944, 9.944, 9.944 Å; angles 30.80, 30.80, 30.80 degrees
Site moments in Bohr magnetons follow the coordinates.
Sites, in units of the cell vectors:
Re 0.650 0.650 0.650  0.12
Ta 0.168 0.168 0.168  0.02
Ta 0.091 0.585 0.091  0.01
Ta 0.415 0.909 0.909  0.01
Ta 0.832 0.832 0.832  0.02
Re 0.350 0.350 0.350  0.12
Ta 0.909 0.415 0.909  0.01
Re 0.457 0.457 0.457  0.01
Ta 0.909 0.909 0.415  0.01
Ta 0.585 0.091 0.091  0.01
Re 0.543 0.543 0.543  0.01
Ta 0.000 0.000 0.000  0.00
Ta 0.091 0.091 0.585  0.01



No. 8
A relaxed structure of TaRe2, computed with PBE.

Results
SG = No. 224
energy of formation from the pure elements = 358.48 kJ per mole of atoms
density = 11.8 Mg/m³
total magnetic moment = 0.002 μB/atom

Cell lengths 5.386, 5.386, 5.386 Å; angles 90.00, 90.00, 90.00 degrees
Sites, in units of the cell vectors:
Ta 0.000 0.000 0.000
Re 0.250 0.750 0.750
Ta 0.500 0.500 0.500
Re 0.750 0.750 0.250
Re 0.750 0.250 0.750
Re 0.250 0.250 0.250



No. 9
A relaxed structure of Ta12Re17, computed with PBE.

Results
SG = No. 217
energy of formation from the pure elements = 18.71 kJ per mole of atoms
density = 18.5 Mg/m³
total magnetic moment = 0.000 μB/atom

Cell lengths 8.536, 8.536, 8.536 Å; angles 109.47, 109.47, 109.47 degrees
Sites, in units of the cell vectors:
Re 0.632 0.000 0.000
Ta 0.000 0.195 0.385
Ta 0.809 0.615 0.615
Re 0.000 0.414 0.692
Re 0.278 0.586 0.586
Ta 0.000 0.385 0.195
Re 0.692 0.000 0.414
Re 0.368 0.368 0.368
Re 0.414 0.692 0.000
Ta 0.385 0.195 0.000
Re 0.586 0.278 0.586
Re 0.308 0.722 0.308
Ta 0.805 0.805 0.191
Re 0.586 0.586 0.278
Ta 0.615 0.809 0.615
Re 0.692 0.414 0.000
Ta 0.191 0.805 0.805
Ta 0.195 0.000 0.385
Re 0.414 0.000 0.692
Re 0.000 0.000 0.000
Re 0.722 0.308 0.308
Re 0.000 0.692 0.414
Ta 0.195 0.385 0.000
Ta 0.615 0.615 0.809
Re 0.000 0.000 0.632
Re 0.000 0.632 0.000
Ta 0.385 0.000 0.195
Ta 0.805 0.191 0.805
Re 0.308 0.308 0.722



No. 10
A relaxed structure of Ta2Re, computed with PBE.

Results
SG = No. 194
energy of formation from the pure elements = 18.15 kJ per mole of atoms
density = 17.1 Mg/m³
total magnetic moment = 0.003 μB/atom

Cell lengths 5.417, 5.417, 16.766 Å; angles 90.00, 90.00, 120.00 degrees
Sites, in units of the cell vectors:
Re 0.667 0.333 0.353
Re 0.667 0.333 0.625
Ta 0.500 0.500 0.000
Re 0.333 0.667 0.647
Ta 0.672 0.836 0.250
Ta 0.000 0.000 0.595
Ta 0.164 0.328 0.250
Ta 0.500 0.500 0.500
Re 0.667 0.333 0.147
Ta 0.836 0.672 0.750
Ta 0.500 0.000 0.000
Ta 0.000 0.000 0.405
Re 0.333 0.667 0.125
Ta 0.836 0.164 0.750
Ta 0.328 0.164 0.750
Re 0.333 0.667 0.853
Ta 0.000 0.000 0.095
Re 0.333 0.667 0.375
Ta 0.164 0.836 0.250
Ta 0.500 0.000 0.500
Ta 0.000 0.500 0.000
Re 0.667 0.333 0.875
Ta 0.000 0.000 0.905
Ta 0.000 0.500 0.500



No. 11
A relaxed structure of TaRe12, computed with PBE.

Results
SG = No. 166
energy of formation from the pure elements = 20.71 kJ per mole of atoms
density = 19.8 Mg/m³
total magnetic moment = 0.001 μB/atom

Cell lengths 9.489, 9.489, 9.489 Å; angles 31.13, 31.13, 31.13 degrees
Sites, in units of the cell vectors:
Re 0.582 0.088 0.088
Re 0.088 0.088 0.582
Re 0.418 0.912 0.912
Re 0.346 0.346 0.346
Re 0.088 0.582 0.088
Re 0.654 0.654 0.654
Re 0.546 0.546 0.546
Re 0.832 0.832 0.832
Re 0.454 0.454 0.454
Re 0.912 0.418 0.912
Re 0.168 0.168 0.168
Ta 0.000 0.000 0.000
Re 0.912 0.912 0.418



No. 12
A relaxed structure of Ta2Re11, computed with PBE.

Results
SG = No. 166
energy of formation from the pure elements = 4.53 kJ per mole of atoms
density = 19.5 Mg/m³
total magnetic moment = 0.000 μB/atom

Cell lengths 9.579, 9.579, 9.579 Å; angles 30.84, 30.84, 30.84 degrees
Sites, in units of the cell vectors:
Ta 0.833 0.833 0.833
Re 0.545 0.545 0.545
Re 0.347 0.347 0.347
Re 0.455 0.455 0.455
Re 0.092 0.585 0.092
Re 0.585 0.092 0.092
Re 0.000 0.000 0.000
Re 0.653 0.653 0.653
Re 0.908 0.908 0.415
Re 0.092 0.092 0.585
Re 0.415 0.908 0.908
Re 0.908 0.415 0.908
Ta 0.167 0.167 0.167



No. 13
A relaxed structure of TaRe2, computed with PBE.

Results
SG = No. 227
energy of formation from the pure elements = 403.11 kJ per mole of atoms
density = 5.1 Mg/m³
total magnetic moment = 1.675 μB/atom

Cell lengths 7.993, 7.993, 7.993 Å; angles 60.00, 60.00, 60.00 degrees
Site moments in Bohr magnetons follow the coordinates.
Sites, in units of the cell vectors:
Ta 0.000 0.000 0.000  -0.66
Ta 0.250 0.250 0.250  -0.66
Re 0.125 0.125 0.125  2.65
Re 0.625 0.125 0.125  2.32
Re 0.125 0.125 0.625  2.72
Re 0.125 0.625 0.125  2.63



No. 14
A relaxed structure of Ta3Re10, computed with PBE.

Results
SG = No. 166
energy of formation from the pure elements = 19.40 kJ per mole of atoms
density = 19.1 Mg/m³
total magnetic moment = 0.000 μB/atom

Cell lengths 9.635, 9.635, 9.635 Å; angles 30.89, 30.89, 30.89 degrees
Sites, in units of the cell vectors:
Re 0.090 0.090 0.583
Re 0.910 0.910 0.417
Re 0.349 0.349 0.349
Ta 0.451 0.451 0.451
Re 0.832 0.832 0.832
Re 0.651 0.651 0.651
Re 0.417 0.910 0.910
Re 0.090 0.583 0.090
Ta 0.000 0.000 0.000
Re 0.910 0.417 0.910
Ta 0.549 0.549 0.549
Re 0.583 0.090 0.090
Re 0.168 0.168 0.168



No. 15
A relaxed structure of Ta11Re4, computed with PBE.

Results
SG = No. 136
energy of formation from the pure elements = -19.54 kJ per mole of atoms
density = 17.3 Mg/m³
total magnetic moment = 0.000 μB/atom

Cell lengths 9.991, 9.991, 5.256 Å; angles 90.00, 90.00, 90.00 degrees
Sites, in units of the cell vectors:
Ta 0.629 0.032 0.500
Ta 0.129 0.468 0.000
Ta 0.968 0.371 0.500
Ta 0.395 0.395 0.000
Ta 0.187 0.187 0.750
Re 0.757 0.564 0.500
Ta 0.000 0.000 0.000
Re 0.936 0.257 0.000
Re 0.743 0.064 0.000
Ta 0.105 0.895 0.500
Ta 0.605 0.605 0.000
Ta 0.532 0.871 0.000
Re 0.257 0.936 0.000
Re 0.564 0.757 0.500
Ta 0.813 0.813 0.250
Ta 0.187 0.187 0.250
Ta 0.813 0.813 0.750
Ta 0.500 0.500 0.500
Re 0.064 0.743 0.000
Ta 0.687 0.313 0.750
Ta 0.687 0.313 0.250
Ta 0.895 0.105 0.500
Ta 0.371 0.968 0.500
Ta 0.871 0.532 0.000
Ta 0.032 0.629 0.500
Re 0.243 0.436 0.500
Re 0.436 0.243 0.500
Ta 0.313 0.687 0.250
Ta 0.313 0.687 0.750
Ta 0.468 0.129 0.000



no.,volume (Å³ per cell)
1,452
2,488
3,199
4,542
5,527
6,482
7,229
8,156
9,479
10,426
11,203
12,205
13,361
14,209
15,525